TiV2PPd, optimized geometry, DFT GGA-PBE; raw total energy = -36.41 eV/f.u.; calculated volume = 83.9 Å³/cell; size of the total moment = 1.49 μB per cell; energy relative to the elements = 64 meV per atom; crystal system = tetragonal
1.0
4.313 0.000 0.000
0.000 4.313 0.000
0.000 0.000 4.510
Ti V P Pd
1 2 1 1
Direct
0.000 0.000 0.000 Ti
0.000 0.500 0.500 V
0.500 0.000 0.500 V
0.000 0.000 0.500 P
0.500 0.500 0.000 Pd



Nd4Se5Cl, optimized geometry, DFT GGA-PBE; raw total energy = -55.67 eV/f.u.; calculated volume = 638.4 Å³/cell; size of the total moment = 2.02 μB per cell; uncorrected formation energy = -167.22 kJ/mol of atoms; crystal system = orthorhombic
1.0
9.165 0.000 0.000
0.000 9.743 0.000
0.000 0.000 7.149
Nd Se Cl
8 10 2
Direct
0.024 0.250 0.049 Nd
0.250 0.001 0.549 Nd
0.250 0.499 0.549 Nd
0.476 0.250 0.049 Nd
0.524 0.750 0.951 Nd
0.750 0.501 0.451 Nd
0.750 0.999 0.451 Nd
0.976 0.750 0.951 Nd
0.026 0.547 0.246 Se
0.026 0.953 0.246 Se
0.250 0.750 0.754 Se
0.474 0.547 0.246 Se
0.474 0.953 0.246 Se
0.526 0.047 0.754 Se
0.526 0.453 0.754 Se
0.750 0.250 0.246 Se
0.974 0.047 0.754 Se
0.974 0.453 0.754 Se
0.250 0.250 0.332 Cl
0.750 0.750 0.668 Cl



BaTiGe2, optimized geometry, DFT GGA-PBE; raw total energy = -18.68 eV/f.u.; calculated volume = 96.4 Å³/cell; size of the total moment = 1.53 μB per cell; energy relative to the elements = 94 meV per atom; energy above the most stable polymorph in this dataset = 419 meV/atom; crystal system = cubic
1.0
0.000 3.639 3.639
3.639 0.000 3.639
3.639 3.639 0.000
Ba Ti Ge
1 1 2
Direct
0.000 0.000 0.000 Ba
0.500 0.500 0.500 Ti
0.250 0.250 0.250 Ge
0.750 0.750 0.750 Ge